Entry 1:
{"formula": "Pu2BePbO8", "functional": "PBE", "state": "optimized geometry", "cell": [[4.9393, 0.2995, -0.0035], [0.3772, 4.9344, -0.0055], [0.0051, 0.0076, 6.8448]], "species": ["Pu", "Pu", "Be", "Pb", "O", "O", "O", "O", "O", "O", "O", "O"], "frac_coords": [[0.5000, 0.5000, 0.7641], [0.5000, 0.5000, 0.2359], [0.0000, 0.0000, 0.0000], [0.0000, 0.0000, 0.5000], [0.1950, 0.8047, 0.1929], [0.6789, 0.6791, 0.0000], [0.8050, 0.1952, 0.1928], [0.8050, 0.1953, 0.8071], [0.3211, 0.3209, 0.0000], [0.1950, 0.8048, 0.8072], [0.6670, 0.6672, 0.5000], [0.3330, 0.3328, 0.5000]], "mass_density_g_cm3": 8.3, "raw_formation_energy_kj_per_mol_atoms": -200.6}



Entry 2:
{"formula": "Zr2P3H4NO12", "functional": "PBE", "state": "optimized geometry", "cell": [[9.6778, -0.0031, -0.0021], [5.6671, 7.8450, -0.0021], [5.6671, 2.8961, 7.2909]], "species": ["Zr", "Zr", "Zr", "Zr", "P", "P", "P", "P", "P", "P", "H", "H", "H", "H", "H", "H", "H", "H", "N", "N", "O", "O", "O", "O", "O", "O", "O", "O", "O", "O", "O", "O", "O", "O", "O", "O", "O", "O", "O", "O", "O", "O", "O", "O"], "frac_coords": [[0.1514, 0.1514, 0.1514], [0.3497, 0.3497, 0.3497], [0.6514, 0.6514, 0.6514], [0.8497, 0.8497, 0.8497], [0.7480, 0.0376, 0.4676], [0.0376, 0.4676, 0.7480], [0.4676, 0.7480, 0.0376], [0.5376, 0.2480, 0.9676], [0.9676, 0.5376, 0.2480], [0.2480, 0.9676, 0.5376], [0.4635, 0.4635, 0.4635], [0.6440, 0.4770, 0.4396], [0.4770, 0.4396, 0.6440], [0.4396, 0.6440, 0.4770], [0.9770, 0.1440, 0.9396], [0.9396, 0.9770, 0.1440], [0.1440, 0.9396, 0.9770], [0.9635, 0.9635, 0.9635], [0.0050, 0.0050, 0.0050], [0.5050, 0.5050, 0.5050], [0.2465, 0.1403, 0.5139], [0.5139, 0.2465, 0.1403], [0.1403, 0.5139, 0.2465], [0.9225, 0.0738, 0.3027], [0.5753, 0.2020, 0.4296], [0.7465, 0.0139, 0.6403], [0.0738, 0.3027, 0.9225], [0.2020, 0.4296, 0.5753], [0.4296, 0.5753, 0.2020], [0.7020, 0.0753, 0.9296], [0.3649, 0.2504, 0.9887], [0.0139, 0.6403, 0.7465], [0.9887, 0.3649, 0.2504], [0.6403, 0.7465, 0.0139], [0.3027, 0.9225, 0.0738], [0.5738, 0.4225, 0.8027], [0.8027, 0.5738, 0.4225], [0.9296, 0.7020, 0.0753], [0.2504, 0.9887, 0.3649], [0.4225, 0.8027, 0.5738], [0.0753, 0.9296, 0.7020], [0.8649, 0.4887, 0.7504], [0.4887, 0.7504, 0.8649], [0.7504, 0.8649, 0.4887]], "final_energy_ev_per_atom": -7.419, "mass_density_g_cm3": 2.9}



Entry 3:
{"formula": "IrRh2Pb", "functional": "PBE", "state": "optimized geometry", "cell": [[3.9437, -2.1993, 0.4965], [0.0784, -4.5419, 0.0404], [1.7903, -2.2720, -3.5027]], "species": ["Ir", "Rh", "Rh", "Pb"], "frac_coords": [[0.5000, 0.5000, 0.5000], [0.0000, 0.0000, 0.0000], [0.7500, 0.7500, 0.7500], [0.2500, 0.2500, 0.2500]], "mass_density_g_cm3": 15.2, "formation_enthalpy_0k_mev_per_atom": 335}



Entry 4:
{"formula": "Th4Si2Rh", "functional": "PBE", "state": "optimized geometry", "cell": [[-1.7369, 5.8227, -5.1829], [-6.8228, -3.8160, 1.6322], [3.2054, 3.0414, 6.6520]], "species": ["Th", "Th", "Th", "Th", "Th", "Th", "Th", "Th", "Si", "Si", "Si", "Si", "Rh", "Rh"], "frac_coords": [[0.9303, 0.2315, 0.3012], [0.3196, 0.5183, 0.1987], [0.9303, 0.6292, 0.6988], [0.7686, 0.0696, 0.6990], [0.3706, 0.0696, 0.3010], [0.3196, 0.1209, 0.8012], [0.4812, 0.6804, 0.8010], [0.8794, 0.6803, 0.1990], [0.6250, 0.3750, 0.7500], [0.6250, 0.8749, 0.2500], [0.6250, 0.3750, 0.2500], [0.1249, 0.3750, 0.7500], [0.2490, 0.7490, 0.5000], [0.0013, 0.0013, 0.0000]], "mass_density_g_cm3": 9.2, "raw_formation_energy_kj_per_mol_atoms": -44.7}



What is the formula in the first record?
Pu2BePbO8